VASP calculation (SCAN) on Sc3Hg at its PBEsol-relaxed geometry.

Structure (extended XYZ):
```
4
Lattice="3.268 0.000 0.000 0.000 3.268 0.000 0.000 0.000 8.328" Properties=species:S:1:pos:R:3 pbc="T T T"
Sc 0.000 0.000 0.000
Sc 1.634 1.634 2.220
Sc 1.634 1.634 6.109
Hg 0.000 0.000 4.164
```

uncorrected energy: -28.026 eV/atom
D(E_F): 0.97 states/eV/atom
space-group type: P4/mmm (123)
formation energy: -30 kJ per mole of atoms